(1)
Here is crystalline BeSnB3 at its relaxed geometry from Alexandria via LeMat-Bulk. Energies are from PBE-GGA.

The structure in POSCAR format:
```
BeSnB3
1.0
4.490 0.000 0.000
0.000 4.490 0.000
0.000 0.000 4.490
Be Sn B
1 1 3
direct
0.000 0.000 0.000
0.500 0.500 0.500
0.000 0.500 0.500
0.500 0.000 0.500
0.500 0.500 0.000
```

Results
- energy relative to the elements (eV/f.u.) = 12.8
- distance to the lowest polymorph of the same formula (meV/atom) = 1022
- raw total energy (eV/atom) = -2.99

(2)
Here is crystalline LiMgGaF6 at its relaxed geometry from Alexandria via LeMat-Bulk. Energies are from PBE-GGA.

The structure in POSCAR format:
```
LiMgGaF6
1.0
4.676 0.000 0.000
0.000 4.676 0.000
0.000 0.000 9.113
Li Mg Ga F
2 2 2 12
direct
0.000 0.000 0.000
0.500 0.500 0.500
0.000 0.000 0.670
0.500 0.500 0.170
0.000 0.000 0.333
0.500 0.500 0.833
0.190 0.190 0.494
0.196 0.196 0.177
0.208 0.208 0.830
0.292 0.708 0.330
0.304 0.696 0.677
0.310 0.690 0.994
0.690 0.310 0.994
0.696 0.304 0.677
0.708 0.292 0.330
0.792 0.792 0.830
0.804 0.804 0.177
0.810 0.810 0.494
```

Results
- formation energy from raw total energies (eV per atom) = -3.03
- raw total energy (eV/atom) = -5.01

(3)
Here is crystalline La2ScCl at its relaxed geometry from Alexandria via LeMat-Bulk. Energies are from PBE-GGA.

The structure in POSCAR format:
```
La2ScCl
1.0
5.015 0.000 0.000
0.000 5.015 0.000
0.000 0.000 9.471
La Sc Cl
4 2 2
direct
0.000 0.500 0.250
0.000 0.500 0.750
0.500 0.000 0.250
0.500 0.000 0.750
0.000 0.000 0.000
0.500 0.500 0.500
0.000 0.000 0.500
0.500 0.500 0.000
```

Results
- distance to the lowest polymorph of the same formula (meV/atom) = 522
- formation energy from raw total energies (eV per atom) = -0.11
- raw total energy (eV/atom) = -4.62

(4)
Here is crystalline Tm3ZnCu at its relaxed geometry from Alexandria via LeMat-Bulk. Energies are from PBE-GGA.

The structure in POSCAR format:
```
Tm3ZnCu
1.0
2.462 -9.433 0.000
2.462 9.433 0.000
0.000 0.000 4.922
Tm Zn Cu
6 2 2
direct
0.068 0.932 0.750
0.249 0.751 0.750
0.431 0.569 0.750
0.569 0.431 0.250
0.751 0.249 0.250
0.932 0.068 0.250
0.158 0.842 0.250
0.842 0.158 0.750
0.339 0.661 0.250
0.661 0.339 0.750
```

Results
- energy relative to the elements (eV/f.u.) = -1.2
- distance to the lowest polymorph of the same formula (meV/atom) = 0
- raw total energy (eV/atom) = -3.99